No. 1
SmPu2O: optimized geometry, PBE-GGA.

Its total energy is -9.9161 eV per atom. The magnetization is 0.000 μB/atom.

The structure belongs to space group R-3m (No. 166, hexagonal axes); the cell edges are 3.9929, 3.9929 and 19.4047 Å and the angles 90.00°, 90.00° and 120.00°. Symmetry generates all atoms from Sm at (0.0000, 0.0000, 0.0000), Pu at (0.0000, 0.0000, 0.1890) and O at (0.0000, 0.0000, 0.5000).

***

No. 2
SmPuO5: optimized geometry, PBE-GGA.

Its total energy is -9.0243 eV per atom. The magnetization is 0.143 μB/atom.

The structure belongs to space group C2/c (No. 15); the cell edges are 9.3637, 6.5984 and 8.1633 Å and the angles 90.00°, 115.72° and 90.00°. Symmetry generates all atoms from Sm at (0.0000, 0.0463, 0.2500), Pu at (0.0000, 0.5000, 0.0000), O at (0.0000, 0.3998, 0.2500), O at (0.0063, 0.2013, 0.9661) and O at (0.2246, 0.4896, 0.6141).

***

> Among the records above, which one has the lowest magnetization?

SmPu2O

***

> Which of these has the highest magnetization?

SmPuO5

***

What did the first record say?
SmPu2O: optimized geometry, PBE-GGA.

Its total energy is -9.9161 eV per atom. The magnetization is 0.000 μB/atom.

The structure belongs to space group R-3m (No. 166, hexagonal axes); the cell edges are 3.9929, 3.9929 and 19.4047 Å and the angles 90.00°, 90.00° and 120.00°. Symmetry generates all atoms from Sm at (0.0000, 0.0000, 0.0000), Pu at (0.0000, 0.0000, 0.1890) and O at (0.0000, 0.0000, 0.5000).

***

> Which formula does entry 2 have?

SmPuO5